Entry 1:
The following is a DFT calculation (PBE) of BaPAuS2 after structural relaxation.

Structure (POSCAR):
```
BaPAuS2
1.0
-0.7699 4.4537 -2.5243
-5.1026 -0.8738 0.0145
-0.3732 2.2468 4.0779
Au Ba S P
1 1 2 1
direct
0.0000 0.0000 0.0000
0.5000 0.5000 0.5000
0.0000 0.5000 0.0000
0.5000 0.0000 0.0000
0.0000 0.0000 0.5000
```

Formation energy without anion corrections: -340 meV/atom
Symmetry: P4/mmm, No. 123
ρ: 5.70 g/cm³
Total energy: -4.1132 eV/atom

---

Entry 2:
The following is a DFT calculation (PBE) of Co2NiAs after structural relaxation.

Structure (POSCAR):
```
Co2NiAs
1.0
3.0770 -0.0299 0.0000
0.0299 3.0770 0.0000
0.0000 0.0000 5.1184
Co Ni As
2 1 1
direct
0.0000 0.0000 0.0169
0.5000 0.5000 0.2409
0.0000 0.0000 0.5009
0.5000 0.5000 0.7412
```

ΔH_f (0 K): 0.06 eV per atom
Symmetry: P4mm, No. 99
ρ: 8.62 g/cm³
Total energy: -6.0963 eV/atom

---

Entry 3:
The following is a DFT calculation (PBE) of Mg2Zr3UN6 after structural relaxation.

Structure (POSCAR):
```
Mg2Zr3UN6
1.0
5.5986 -0.0063 0.0021
-2.8034 4.8461 0.0021
-0.9302 -1.6105 5.3898
N Zr Mg U
6 3 2 1
direct
0.2461 0.2461 0.7529
0.0819 0.4119 0.2459
0.7539 0.7539 0.2471
0.5881 0.9181 0.7541
0.4119 0.0819 0.2459
0.9181 0.5881 0.7541
0.5000 0.5000 0.5000
0.1717 0.8283 0.5000
0.8283 0.1717 0.5000
0.6664 0.3336 0.0000
0.3336 0.6664 0.0000
0.0000 0.0000 0.0000
```

Formation energy without anion corrections: -1405 meV/atom
Symmetry: C2/m, No. 12
ρ: 7.32 g/cm³
Total energy: -8.9113 eV/atom